[1]
A plane-wave DFT calculation with SCAN was carried out for a PBEsol-optimized structure of AlAsRu2.

The space group is Cmmm (No. 65) and the conventional cell measures 2.989, 4.871 and 7.910 Å, with angles of 90.00, 90.00 and 90.00 degrees. Symmetry generates all atoms from Al at (0.000, 0.000, 0.000), As at (0.000, 0.000, 0.500) and Ru at (0.000, 0.500, 0.256).

As for the density of states at the Fermi level: 0.669 states/eV/atom. The total moment is 0.0 Bohr magnetons per cell. As for the formation energy: -1.936 kcal/mol of atoms. For the polymorph energy (0 for the lowest one), the calculation gives 458 meV per atom.

[2]
A plane-wave DFT calculation with SCAN was carried out for a PBEsol-optimized structure of AlAsRu.

The space group is Fmm2 (No. 42) and the conventional cell measures 3.032, 4.903 and 12.465 Å, with angles of 90.00, 90.00 and 90.00 degrees. Symmetry generates all atoms from Al at (0.000, 0.000, 0.000), As at (0.000, 0.000, 0.688) and Ru at (0.000, 0.000, 0.343).

As for the density of states at the Fermi level: 0.651 states/eV/atom. The total moment is 0.0 Bohr magnetons per cell. As for the formation energy: 0.718 kcal/mol of atoms.

[3]
A plane-wave DFT calculation with SCAN was carried out for a PBEsol-optimized structure of AlAs2RuSe.

The space group is P4/mmm (No. 123) and the conventional cell measures 4.582, 4.582 and 5.305 Å, with angles of 90.00, 90.00 and 90.00 degrees. Symmetry generates all atoms from Al at (0.000, 0.000, 0.000), As at (0.000, 0.500, 0.500), Ru at (0.500, 0.500, 0.500) and Se at (0.500, 0.500, 0.000).

The value obtained for the uncorrected formation energy is 2.46 eV/f.u. As for the density of states at the Fermi level: 0.755 states/eV/atom. The total moment is 0.0 Bohr magnetons per cell.

[4]
A plane-wave DFT calculation with SCAN was carried out for a PBEsol-optimized structure of AlAsS2.

The space group is R-3m (No. 166, hexagonal axes) and the conventional cell measures 3.4852, 3.4852 and 23.3939 Å, with angles of 90.00, 90.00 and 120.00 degrees. Symmetry generates all atoms from Al at (0.0000, 0.0000, 0.0000), As at (0.0000, 0.0000, 0.5000) and S at (0.0000, 0.0000, 0.1015).

The value obtained for the uncorrected formation energy is 0.05 eV/f.u. As for the density of states at the Fermi level: 0.153 states/eV/atom. The total moment is 0.0 Bohr magnetons per cell.

[5]
A plane-wave DFT calculation with SCAN was carried out for a PBEsol-optimized structure of Al2SbAs.

The space group is P4/mmm (No. 123) and the conventional cell measures 4.723, 4.723 and 3.507 Å, with angles of 90.00, 90.00 and 90.00 degrees. Symmetry generates all atoms from Al at (0.000, 0.500, 0.000), Sb at (0.000, 0.000, 0.500) and As at (0.500, 0.500, 0.500).

The value obtained for the uncorrected formation energy is 0.92 eV/f.u. As for the density of states at the Fermi level: 0.453 states/eV/atom. The total moment is 0.0 Bohr magnetons per cell. For the polymorph energy (0 for the lowest one), the calculation gives 612 meV per atom.

[6]
A plane-wave DFT calculation with SCAN was carried out for a PBEsol-optimized structure of AlSb2As.

The space group is Cm (No. 8) and the conventional cell measures 11.493, 3.622 and 4.772 Å, with angles of 90.00, 112.70 and 90.00 degrees. Symmetry generates all atoms from Al at (0.000, 0.000, 0.000), Sb at (0.028, 0.500, 0.490), Sb at (0.221, 0.500, 0.126) and As at (0.336, 0.000, 0.730).

The value obtained for the uncorrected formation energy is 0.64 eV/f.u. As for the density of states at the Fermi level: 0.369 states/eV/atom. The total moment is 0.0 Bohr magnetons per cell. For the polymorph energy (0 for the lowest one), the calculation gives 178 meV per atom.

[7]
A plane-wave DFT calculation with SCAN was carried out for a PBEsol-optimized structure of Al2SbAs.

The space group is I-42d (No. 122) and the conventional cell measures 5.928, 5.928 and 11.804 Å, with angles of 90.00, 90.00 and 90.00 degrees. Symmetry generates all atoms from Al at (0.224, 0.250, 0.125), Sb at (0.000, 0.000, 0.500) and As at (0.000, 0.000, 0.000).

The value obtained for the uncorrected formation energy is -1.53 eV/f.u. As for the density of states at the Fermi level: 0.000 states/eV/atom. The total moment is 0.0 Bohr magnetons per cell. For the polymorph energy (0 for the lowest one), the calculation gives 0 meV per atom.

[8]
A plane-wave DFT calculation with SCAN was carried out for a PBEsol-optimized structure of AlSb2As.

The space group is Immm (No. 71) and the conventional cell measures 3.725, 3.818 and 13.008 Å, with angles of 90.00, 90.00 and 90.00 degrees. Symmetry generates all atoms from Al at (0.000, 0.000, 0.000), Sb at (0.000, 0.500, 0.313) and As at (0.000, 0.000, 0.500).

The value obtained for the uncorrected formation energy is 0.55 eV/f.u. As for the density of states at the Fermi level: 0.558 states/eV/atom. The total moment is 0.0 Bohr magnetons per cell. For the polymorph energy (0 for the lowest one), the calculation gives 153 meV per atom.

[9]
A plane-wave DFT calculation with SCAN was carried out for a PBEsol-optimized structure of AlSbAs2.

The space group is P4/mmm (No. 123) and the conventional cell measures 3.357, 3.357 and 6.919 Å, with angles of 90.00, 90.00 and 90.00 degrees. Symmetry generates all atoms from Al at (0.000, 0.000, 0.000), Sb at (0.000, 0.000, 0.500) and As at (0.500, 0.500, 0.203).

The value obtained for the uncorrected formation energy is 0.94 eV/f.u. As for the density of states at the Fermi level: 0.447 states/eV/atom. The total moment is 0.0 Bohr magnetons per cell.

[10]
A plane-wave DFT calculation with SCAN was carried out for a PBEsol-optimized structure of Al2SbAs.

The space group is Cmm2 (No. 35) and the conventional cell measures 3.885, 4.571 and 9.080 Å, with angles of 90.00, 90.00 and 90.00 degrees. Symmetry generates all atoms from Al at (0.000, 0.000, 0.000), Al at (0.000, 0.500, 0.214), Sb at (0.000, 0.500, 0.746) and As at (0.000, 0.000, 0.412).

The value obtained for the uncorrected formation energy is 0.61 eV/f.u. As for the density of states at the Fermi level: 0.437 states/eV/atom. The total moment is 0.0 Bohr magnetons per cell. For the polymorph energy (0 for the lowest one), the calculation gives 535 meV per atom.

[11]
A plane-wave DFT calculation with SCAN was carried out for a PBEsol-optimized structure of AlSb2As.

The space group is R3m (No. 160, hexagonal axes) and the conventional cell measures 4.0160, 4.0160 and 20.4870 Å, with angles of 90.00, 90.00 and 120.00 degrees. Symmetry generates all atoms from Al at (0.0000, 0.0000, 0.0000), Sb at (0.0000, 0.0000, 0.2374), Sb at (0.0000, 0.0000, 0.4832) and As at (0.0000, 0.0000, 0.7189).

The value obtained for the uncorrected formation energy is -0.07 eV/f.u. As for the density of states at the Fermi level: 0.383 states/eV/atom. The total moment is 0.0 Bohr magnetons per cell. For the polymorph energy (0 for the lowest one), the calculation gives 0 meV per atom.

[12]
A plane-wave DFT calculation with SCAN was carried out for a PBEsol-optimized structure of AlSb2As.

The space group is Fm-3m (No. 225) and the conventional cell measures 7.044, 7.044 and 7.044 Å, with angles of 90.00, 90.00 and 90.00 degrees. Symmetry generates all atoms from Al at (0.000, 0.000, 0.000), Sb at (0.250, 0.250, 0.250) and As at (0.000, 0.000, 0.500).

The value obtained for the uncorrected formation energy is 1.32 eV/f.u. As for the density of states at the Fermi level: 0.333 states/eV/atom. The total moment is 0.0 Bohr magnetons per cell. For the polymorph energy (0 for the lowest one), the calculation gives 346 meV per atom.

[13]
A plane-wave DFT calculation with SCAN was carried out for a PBEsol-optimized structure of Al2SbAs.

The space group is Cm (No. 8) and the conventional cell measures 7.436, 3.596 and 6.691 Å, with angles of 90.00, 90.09 and 90.00 degrees. Symmetry generates all atoms from Al at (0.000, 0.000, 0.000), Al at (0.166, 0.000, 0.445), Sb at (0.205, 0.500, 0.774) and As at (0.469, 0.000, 0.276).

The value obtained for the uncorrected formation energy is -0.44 eV/f.u. As for the density of states at the Fermi level: 0.264 states/eV/atom. The total moment is 0.0 Bohr magnetons per cell. For the polymorph energy (0 for the lowest one), the calculation gives 273 meV per atom.

[14]
A plane-wave DFT calculation with SCAN was carried out for a PBEsol-optimized structure of AlSb2TeAs.

The space group is P4/mmm (No. 123) and the conventional cell measures 5.167, 5.167 and 5.135 Å, with angles of 90.00, 90.00 and 90.00 degrees. Symmetry generates all atoms from Al at (0.000, 0.000, 0.000), Sb at (0.000, 0.500, 0.000), Te at (0.000, 0.000, 0.500) and As at (0.500, 0.500, 0.500).

The value obtained for the uncorrected formation energy is 3.63 eV/f.u. As for the density of states at the Fermi level: 0.810 states/eV/atom. The total moment is 0.1 Bohr magnetons per cell.

[15]
A plane-wave DFT calculation with SCAN was carried out for a PBEsol-optimized structure of TiAlSb2As.

The space group is P4/mmm (No. 123) and the conventional cell measures 5.344, 5.344 and 4.726 Å, with angles of 90.00, 90.00 and 90.00 degrees. Symmetry generates all atoms from Ti at (0.000, 0.000, 0.000), Al at (0.500, 0.500, 0.000), Sb at (0.000, 0.500, 0.500) and As at (0.000, 0.000, 0.500).

The value obtained for the uncorrected formation energy is 3.19 eV/f.u. As for the density of states at the Fermi level: 0.570 states/eV/atom. The total moment is 1.6 Bohr magnetons per cell.